Computed, not measured: an optimized crystal structure of Y2ScP at the PBE level of DFT.

Results
**SG**: Amm2
**Calculated total energy**: -6.829 eV per atom
**N(E_F)**: 5.02 states/eV/f.u.

Cell lengths 4.206, 6.046, 6.046 Å; angles 39.26, 90.00, 90.00 degrees
Fractional coordinates of all 4 atoms:
Y1 0.000 0.000 0.000
Y2 0.500 0.299 0.299
Sc1 0.000 0.713 0.713
P1 0.500 0.574 0.574

=====

Computed, not measured: an optimized crystal structure of Cs2H7Ru2 at the PBE level of DFT.

Results
**SG**: Cmmm
**Calculated total energy**: -3.837 eV per atom
**N(E_F)**: 3.73 states/eV/f.u.

Cell lengths 4.654, 4.654, 6.313 Å; angles 90.00, 90.00, 94.06 degrees
Fractional coordinates of all 11 atoms:
Cs1 0.248 0.248 0.000
Cs2 0.752 0.752 0.000
H1 0.000 0.000 0.500
H2 0.000 0.500 0.356
H3 0.000 0.500 0.644
H4 0.500 0.000 0.356
H5 0.500 0.000 0.644
H6 0.500 0.500 0.370
H7 0.500 0.500 0.630
Ru1 0.266 0.734 0.500
Ru2 0.734 0.266 0.500

=====

Computed, not measured: an optimized crystal structure of Rh2C at the PBE level of DFT.

Results
**SG**: P4/nmm
**Calculated total energy**: -7.589 eV per atom
**N(E_F)**: 1.78 states/eV/f.u.

Cell lengths 3.866, 3.866, 4.927 Å; angles 90.00, 90.00, 90.00 degrees
Fractional coordinates of all 6 atoms:
Rh1 0.250 0.250 0.050
Rh2 0.250 0.750 0.500
Rh3 0.750 0.250 0.500
Rh4 0.750 0.750 0.950
C1 0.250 0.250 0.670
C2 0.750 0.750 0.330

=====

Computed, not measured: an optimized crystal structure of MgPaCoAu at the PBE level of DFT.

Results
**SG**: F-43m
**Calculated total energy**: -5.539 eV per atom
**N(E_F)**: 2.40 states/eV/f.u.

Cell lengths 4.767, 4.767, 4.767 Å; angles 60.00, 60.00, 60.00 degrees
Fractional coordinates of all 4 atoms:
Mg1 0.000 0.000 0.000
Pa1 0.500 0.500 0.500
Co1 0.250 0.250 0.250
Au1 0.750 0.750 0.750

=====

Computed, not measured: an optimized crystal structure of La2Tb3Sm6Pb at the PBE level of DFT.

Results
**SG**: C2/m
**Calculated total energy**: -4.723 eV per atom
**N(E_F)**: 14.57 states/eV/f.u.

Cell lengths 6.207, 6.207, 11.987 Å; angles 94.99, 94.99, 120.04 degrees
Fractional coordinates of all 12 atoms:
La1 0.166 0.834 0.000
La2 0.834 0.166 0.000
Tb1 0.000 0.000 0.500
Tb2 0.332 0.668 0.500
Tb3 0.668 0.332 0.500
Sm1 0.091 0.416 0.748
Sm2 0.260 0.260 0.253
Sm3 0.416 0.091 0.748
Sm4 0.584 0.909 0.252
Sm5 0.740 0.740 0.747
Sm6 0.909 0.584 0.252
Pb1 0.500 0.500 0.000

=====

Computed, not measured: an optimized crystal structure of Tb2ZnNi12P3 at the PBE level of DFT.

Results
**SG**: R-3m
**Calculated total energy**: -5.512 eV per atom
**N(E_F)**: 15.04 states/eV/f.u.

Cell lengths 6.259, 6.259, 6.259 Å; angles 84.84, 84.84, 84.84 degrees
Fractional coordinates of all 18 atoms:
Tb1 0.158 0.158 0.158
Tb2 0.842 0.842 0.842
Zn1 0.500 0.500 0.500
Ni1 0.121 0.121 0.606
Ni2 0.121 0.606 0.121
Ni3 0.191 0.678 0.678
Ni4 0.322 0.322 0.809
Ni5 0.322 0.809 0.322
Ni6 0.394 0.879 0.879
Ni7 0.606 0.121 0.121
Ni8 0.678 0.191 0.678
Ni9 0.678 0.678 0.191
Ni10 0.809 0.322 0.322
Ni11 0.879 0.394 0.879
Ni12 0.879 0.879 0.394
P1 0.000 0.500 0.500
P2 0.500 0.000 0.500
P3 0.500 0.500 0.000

=====

Computed, not measured: an optimized crystal structure of MnAl2Mo at the PBE level of DFT.

Results
**SG**: Pm
**Calculated total energy**: -7.011 eV per atom
**N(E_F)**: 2.95 states/eV/f.u.

Cell lengths 2.728, 4.419, 4.824 Å; angles 90.00, 93.72, 90.00 degrees
Fractional coordinates of all 4 atoms:
Mn1 0.000 0.000 0.000
Al1 0.425 0.500 0.815
Al2 0.445 0.000 0.497
Mo1 0.900 0.500 0.306

=====

Computed, not measured: an optimized crystal structure of BaTa2Au at the PBE level of DFT.

Results
**SG**: R-3m
**Calculated total energy**: -6.412 eV per atom
**N(E_F)**: 4.25 states/eV/f.u.

Cell lengths 11.248, 11.248, 11.248 Å; angles 15.63, 15.63, 15.63 degrees
Fractional coordinates of all 4 atoms:
Ba1 0.000 0.000 0.000
Ta1 0.237 0.237 0.237
Ta2 0.763 0.763 0.763
Au1 0.500 0.500 0.500

=====

Computed, not measured: an optimized crystal structure of TbCeAlHg at the PBE level of DFT.

Results
**SG**: F-43m
**Calculated total energy**: -3.967 eV per atom
**N(E_F)**: 9.91 states/eV/f.u.

Cell lengths 5.280, 5.280, 5.280 Å; angles 60.00, 60.00, 60.00 degrees
Fractional coordinates of all 4 atoms:
Tb1 0.000 0.000 0.000
Ce1 0.500 0.500 0.500
Al1 0.250 0.250 0.250
Hg1 0.750 0.750 0.750

=====

Computed, not measured: an optimized crystal structure of LiCeCoSi at the PBE level of DFT.

Results
**SG**: F-43m
**Formation energy (no corrections)**: -1.501 eV per formula unit
**N(E_F)**: 0.90 states/eV/f.u.

Cell lengths 4.435, 4.435, 4.435 Å; angles 60.00, 60.00, 60.00 degrees
Fractional coordinates of all 4 atoms:
Li1 0.000 0.000 0.000
Ce1 0.750 0.750 0.750
Co1 0.500 0.500 0.500
Si1 0.250 0.250 0.250

=====

Computed, not measured: an optimized crystal structure of Ho4Cu2O at the PBE level of DFT.

Results
**SG**: I4/mmm
**Formation energy (no corrections)**: -6.338 eV per formula unit
**N(E_F)**: 7.71 states/eV/f.u.

Cell lengths 7.621, 7.621, 7.621 Å; angles 144.52, 144.52, 51.06 degrees
Fractional coordinates of all 7 atoms:
Ho1 0.000 0.500 0.500
Ho2 0.186 0.186 0.000
Ho3 0.500 0.000 0.500
Ho4 0.814 0.814 0.000
Cu1 0.380 0.380 0.000
Cu2 0.620 0.620 0.000
O1 0.000 0.000 0.000

=====

Computed, not measured: an optimized crystal structure of La2CuW at the PBE level of DFT.

Results
**SG**: Amm2
**Calculated total energy**: -6.369 eV per atom
**N(E_F)**: 4.35 states/eV/f.u.

Cell lengths 4.353, 5.831, 5.831 Å; angles 43.97, 90.00, 90.00 degrees
Fractional coordinates of all 4 atoms:
La1 0.000 0.000 0.000
La2 0.500 0.291 0.291
Cu1 0.500 0.585 0.585
W1 0.000 0.705 0.705